Compound: MgHg
Source: OQMD
Functional: PBE-GGA
Structure: relaxed

Lattice parameters (Å, degrees): 3.465 3.465 3.465 90.00 90.00 90.00
Space group Pm-3m (No. 221)
One atom of each set of equivalent atoms:
Mg  0.000  0.000  0.000 x1
Hg  0.500  0.500  0.500 x1

## Properties
Total DFT energy (no corrections) ... -1.1411 eV per atom
Theoretical density ... 9.0 g cm⁻³